Record 1
Density functional theory data (PBE-GGA) for a relaxed structure of PrCoTcGe3.

Results
ΔE_f in eV/atom: -0.259

abc: 6.671 6.671 5.827
angles: 90.00 90.00 112.32
Atoms (fractional coordinates):
Pr 0.244 0.756 0.750
Pr 0.756 0.244 0.250
Co 0.041 0.959 0.250
Co 0.959 0.041 0.750
Tc 0.448 0.552 0.250
Tc 0.552 0.448 0.750
Ge 0.238 0.762 0.250
Ge 0.240 0.240 0.000
Ge 0.240 0.240 0.500
Ge 0.760 0.760 0.000
Ge 0.760 0.760 0.500
Ge 0.762 0.238 0.750

Record 2
Density functional theory data (PBE-GGA) for a relaxed structure of Co3GePt.

Results
E above lowest polymorph in meV/atom: 311.8
ΔE_f in eV/atom: 1.213

abc: 4.612 4.612 4.612
angles: 90.00 90.00 90.00
Atoms (fractional coordinates):
Co 0.000 0.000 0.500
Co 0.000 0.500 0.000
Co 0.500 0.000 0.000
Ge 0.500 0.500 0.500
Pt 0.000 0.000 0.000

no.,uncorrected energy (eV/atom)
1,-6.28
2,-5.18